B2SbTePb, relaxed, DFT GGA-PBE; raw formation energy = 1.39 eV per atom; E = -0.25538 Ry per atom
1.0
4.6311 0.0000 0.0000
0.0000 4.6311 0.0000
0.0000 0.0000 5.9646
B Sb Te Pb
2 1 1 1
Direct
0.0000 0.5000 0.0000
0.5000 0.0000 0.0000
0.0000 0.0000 0.0000
0.0000 0.0000 0.5000
0.5000 0.5000 0.5000